No. 1
The following is a PBE calculation of a geometry-optimized LaBePPt6 structure, from Alexandria via LeMat-Bulk.

Summary:
energy of formation from the pure elements	-575	meV per atom

Lattice parameters (Å, degrees): 7.5356 8.1437 11.1384 90.00 90.00 90.00
Space group Imma (No. 74)
One atom of each set of equivalent atoms:
1 La 0.0000 0.2500 0.1178 (multiplicity 4)
2 Be 0.2500 0.2500 0.7500 (multiplicity 4)
3 P 0.0000 0.0000 0.5000 (multiplicity 4)
4 Pt 0.0000 0.2500 0.4015 (multiplicity 4)
5 Pt 0.0000 0.2500 0.8590 (multiplicity 4)
6 Pt 0.2326 0.0235 0.6301 (multiplicity 16)

***

No. 2
The following is a PBE calculation of a geometry-optimized Sm12CoAg6 structure, from Alexandria via LeMat-Bulk.

Summary:
energy of formation from the pure elements	-80	meV per atom

Lattice parameters (Å, degrees): 11.9753 11.9753 13.2963 90.00 90.00 120.00
Space group R-3 (No. 148, hexagonal axes)
One atom of each set of equivalent atoms:
1 Sm 0.0358 0.1903 0.3784 (multiplicity 18)
2 Sm 0.0393 0.8470 0.8880 (multiplicity 18)
3 Co 0.0000 0.0000 0.5000 (multiplicity 3)
4 Ag 0.0030 0.6045 0.7558 (multiplicity 18)

***

No. 3
The following is a PBE calculation of a geometry-optimized Sn3Te8Pb4 structure, from Alexandria via LeMat-Bulk.

Lattice parameters (Å, degrees): 12.7096 12.7755 8.9579 90.00 134.50 90.00
Space group C2/m (No. 12)
One atom of each set of equivalent atoms:
1 Sn 0.0000 0.0000 0.0000 (multiplicity 2)
2 Sn 0.2500 0.2500 0.5000 (multiplicity 4)
3 Te 0.0000 0.2464 0.0000 (multiplicity 4)
4 Te 0.0000 0.2552 0.5000 (multiplicity 4)
5 Te 0.2481 0.5000 0.5090 (multiplicity 4)
6 Te 0.2499 0.0000 0.0100 (multiplicity 4)
7 Pb 0.0000 0.0000 0.5000 (multiplicity 2)
8 Pb 0.0000 0.5000 0.0000 (multiplicity 2)
9 Pb 0.2500 0.2500 0.0000 (multiplicity 4)

***

No. 4
The following is a PBE calculation of a geometry-optimized Co2Mo structure, from Alexandria via LeMat-Bulk.

Summary:
energy of formation from the pure elements	31	meV per atom

Lattice parameters (Å, degrees): 6.6295 6.6295 6.6295 90.00 90.00 90.00
Space group Fd-3m (No. 227, origin choice 2)
One atom of each set of equivalent atoms:
1 Co 0.0000 0.0000 0.0000 (multiplicity 16)
2 Mo 0.1250 0.1250 0.6250 (multiplicity 8)

***

No. 5
The following is a PBE calculation of a geometry-optimized Ac3Tl2In3Ni structure, from Alexandria via LeMat-Bulk.

Summary:
energy of formation from the pure elements	-382	meV per atom

Lattice parameters (Å, degrees): 8.0109 8.0109 4.7996 90.00 90.00 120.00
Space group P-62m (No. 189)
One atom of each set of equivalent atoms:
1 Ac 0.0000 0.3865 0.0000 (multiplicity 3)
2 Tl 0.3333 0.6667 0.5000 (multiplicity 2)
3 In 0.0000 0.7755 0.5000 (multiplicity 3)
4 Ni 0.0000 0.0000 0.0000 (multiplicity 1)

***

No. 6
The following is a PBE calculation of a geometry-optimized Cs3Ac2US6 structure, from Alexandria via LeMat-Bulk.

Lattice parameters (Å, degrees): 7.6033 13.1671 8.4989 90.00 107.37 90.00
Space group C2/m (No. 12)
One atom of each set of equivalent atoms:
1 Cs 0.0000 0.0000 0.0000 (multiplicity 2)
2 Cs 0.0000 0.3315 0.0000 (multiplicity 4)
3 Ac 0.0000 0.1665 0.5000 (multiplicity 4)
4 U 0.0000 0.5000 0.5000 (multiplicity 2)
5 S 0.2211 0.3417 0.6883 (multiplicity 8)
6 S 0.2466 0.0000 0.6890 (multiplicity 4)

***

No. 7
The following is a PBE calculation of a geometry-optimized Re2MoPb structure, from Alexandria via LeMat-Bulk.

Summary:
energy of formation from the pure elements	697	meV per atom

Lattice parameters (Å, degrees): 9.4661 3.0780 4.9357 90.00 102.40 90.00
Space group Cm (No. 8)
One atom of each set of equivalent atoms:
1 Re 0.0000 0.0000 0.0000 (multiplicity 2)
2 Re 0.2338 0.5000 0.1813 (multiplicity 2)
3 Mo 0.2627 0.0000 0.7717 (multiplicity 2)
4 Pb 0.4979 0.0000 0.4927 (multiplicity 2)

***

No. 8
The following is a PBE calculation of a geometry-optimized LiTbAl2Zn4 structure, from Alexandria via LeMat-Bulk.

Summary:
energy of formation from the pure elements	-247	meV per atom

Lattice parameters (Å, degrees): 4.4514 4.4514 23.7157 90.00 90.00 120.00
Space group R-3m (No. 166, hexagonal axes)
One atom of each set of equivalent atoms:
1 Li 0.0000 0.0000 0.0000 (multiplicity 3)
2 Tb 0.0000 0.0000 0.5000 (multiplicity 3)
3 Al 0.0000 0.0000 0.2525 (multiplicity 6)
4 Zn 0.0000 0.0000 0.1081 (multiplicity 6)
5 Zn 0.0000 0.0000 0.3685 (multiplicity 6)

***

No. 9
The following is a PBE calculation of a geometry-optimized CeTmSnPb structure, from Alexandria via LeMat-Bulk.

Summary:
energy of formation from the pure elements	-426	meV per atom

Lattice parameters (Å, degrees): 7.6675 7.6675 7.6675 90.00 90.00 90.00
Space group F-43m (No. 216)
One atom of each set of equivalent atoms:
1 Ce 0.0000 0.0000 0.0000 (multiplicity 4)
2 Tm 0.0000 0.0000 0.5000 (multiplicity 4)
3 Sn 0.2500 0.2500 0.2500 (multiplicity 4)
4 Pb 0.2500 0.2500 0.7500 (multiplicity 4)

***

No. 10
The following is a PBE calculation of a geometry-optimized Mg2IrRu structure, from Alexandria via LeMat-Bulk.

Summary:
energy of formation from the pure elements	-21	meV per atom

Lattice parameters (Å, degrees): 2.8183 2.8183 7.9400 90.00 90.00 90.00
Space group P4/mmm (No. 123)
One atom of each set of equivalent atoms:
1 Mg 0.0000 0.0000 0.2407 (multiplicity 2)
2 Ir 0.5000 0.5000 0.0000 (multiplicity 1)
3 Ru 0.5000 0.5000 0.5000 (multiplicity 1)

***

No. 11
The following is a PBE calculation of a geometry-optimized TiSN2 structure, from Alexandria via LeMat-Bulk.

Lattice parameters (Å, degrees): 2.9176 2.9176 18.3485 90.00 90.00 120.00
Space group R-3m (No. 166, hexagonal axes)
One atom of each set of equivalent atoms:
1 Ti 0.0000 0.0000 0.0000 (multiplicity 3)
2 S 0.0000 0.0000 0.5000 (multiplicity 3)
3 N 0.0000 0.0000 0.1095 (multiplicity 6)

***

No. 12
The following is a PBE calculation of a geometry-optimized ZnCrAgTe2 structure, from Alexandria via LeMat-Bulk.

Lattice parameters (Å, degrees): 5.3528 5.3528 4.7980 90.00 90.00 90.00
Space group P4/mmm (No. 123)
One atom of each set of equivalent atoms:
1 Zn 0.0000 0.0000 0.0000 (multiplicity 1)
2 Cr 0.5000 0.5000 0.5000 (multiplicity 1)
3 Ag 0.0000 0.0000 0.5000 (multiplicity 1)
4 Te 0.0000 0.5000 0.0000 (multiplicity 2)

***

no.,final energy (eV per atom)
1,-6.16
2,-4.33
3,-3.74
4,-8.32
5,-3.83
6,-5.56
7,-9.16
8,-2.64
9,-4.96
10,-5.35
11,-6.36
12,-3.37